First-principles (PBE-GGA) data for an optimized crystal structure of KTbZn2F8, as listed in Alexandria via LeMat-Bulk.

a b c (Å): 5.2798 5.2798 24.9203
angles (deg): 90.00 90.00 120.00
Space group R32 (No. 155, hexagonal axes)
Inequivalent atoms, fractional coordinates:
K 0.0000 0.0000 0.0000 x3
Tb 0.0000 0.0000 0.5000 x3
Zn 0.0000 0.0000 0.2569 x6
F 0.0000 0.0000 0.3314 x6
F 0.0047 0.3444 0.1107 x18

DOS(E_F), states/eV per atom: 0.00
Energy relative to the elements, uncorrected, meV/atom: -2905
Total magnetic moment, Bohr magnetons per cell: 0.06

First-principles (PBE-GGA) data for an optimized crystal structure of K2TcF6, as listed in Alexandria via LeMat-Bulk.

a b c (Å): 8.521 8.521 8.521
angles (deg): 90.00 90.00 90.00
Space group Fm-3m (No. 225)
Inequivalent atoms, fractional coordinates:
K 0.250 0.250 0.250 x8
Tc 0.000 0.000 0.000 x4
F 0.000 0.000 0.231 x24

DOS(E_F), states/eV per atom: 0.00
Energy above the most stable polymorph in this dataset, meV per atom: 24
Energy relative to the elements, uncorrected, meV/atom: -2538
Total magnetic moment, Bohr magnetons per cell: 12.00

First-principles (PBE-GGA) data for an optimized crystal structure of K2TcF6, as listed in Alexandria via LeMat-Bulk.

a b c (Å): 5.9193 5.9193 4.7259
angles (deg): 90.00 90.00 120.00
Space group P-3m1 (No. 164)
Inequivalent atoms, fractional coordinates:
K 0.3333 0.6667 0.2025 x2
Tc 0.0000 0.0000 0.5000 x1
F 0.1611 0.3222 0.7274 x6

DOS(E_F), states/eV per atom: 0.00
Energy above the most stable polymorph in this dataset, meV per atom: 4
Energy relative to the elements, uncorrected, meV/atom: -2558
Total magnetic moment, Bohr magnetons per cell: 3.00

First-principles (PBE-GGA) data for an optimized crystal structure of K2TcF5, as listed in Alexandria via LeMat-Bulk.

a b c (Å): 6.224 6.224 8.027
angles (deg): 90.00 90.00 90.00
Space group I4mm (No. 107)
Inequivalent atoms, fractional coordinates:
K 0.000 0.500 0.000 x4
Tc 0.000 0.000 0.259 x2
F 0.000 0.000 0.999 x2
F 0.226 0.226 0.267 x8

Energy above the most stable polymorph in this dataset, meV per atom: 59
Energy relative to the elements, uncorrected, meV/atom: -2285
Total magnetic moment, Bohr magnetons per cell: 8.00

First-principles (PBE-GGA) data for an optimized crystal structure of KTcF6, as listed in Alexandria via LeMat-Bulk.

a b c (Å): 5.7252 5.7252 5.5440
angles (deg): 90.00 90.00 120.00
Space group P312 (No. 149)
Inequivalent atoms, fractional coordinates:
K 0.0000 0.0000 0.0000 x1
Tc 0.6667 0.3333 0.5000 x1
F 0.3954 0.0633 0.7003 x6

DOS(E_F), states/eV per atom: 1.45
Energy above the most stable polymorph in this dataset, meV per atom: 7
Energy relative to the elements, uncorrected, meV/atom: -2349
Total magnetic moment, Bohr magnetons per cell: 2.00

First-principles (PBE-GGA) data for an optimized crystal structure of KTcF2, as listed in Alexandria via LeMat-Bulk.

a b c (Å): 6.381 6.381 6.381
angles (deg): 90.00 90.00 90.00
Space group Fm-3m (No. 225)
Inequivalent atoms, fractional coordinates:
K 0.000 0.000 0.000 x4
Tc 0.000 0.000 0.500 x4
F 0.250 0.250 0.250 x8

DOS(E_F), states/eV per atom: 1.30
Energy above the most stable polymorph in this dataset, meV per atom: 649
Energy relative to the elements, uncorrected, meV/atom: -741
Total magnetic moment, Bohr magnetons per cell: 16.83

First-principles (PBE-GGA) data for an optimized crystal structure of K3TcF8, as listed in Alexandria via LeMat-Bulk.

a b c (Å): 5.814 5.814 5.814
angles (deg): 90.00 90.00 90.00
Space group Pm-3m (No. 221)
Inequivalent atoms, fractional coordinates:
K 0.000 0.000 0.500 x3
Tc 0.500 0.500 0.500 x1
F 0.297 0.297 0.297 x8

Energy relative to the elements, uncorrected, meV/atom: -2424
Total magnetic moment, Bohr magnetons per cell: 2.00

First-principles (PBE-GGA) data for an optimized crystal structure of KTcF4, as listed in Alexandria via LeMat-Bulk.

a b c (Å): 6.638 6.638 5.993
angles (deg): 90.00 90.00 90.00
Space group I-4 (No. 82)
Inequivalent atoms, fractional coordinates:
K 0.000 0.000 0.000 x2
Tc 0.000 0.500 0.750 x2
F 0.208 0.290 0.749 x8

Energy relative to the elements, uncorrected, meV/atom: -2118
Total magnetic moment, Bohr magnetons per cell: 8.00

First-principles (PBE-GGA) data for an optimized crystal structure of K3TcF6, as listed in Alexandria via LeMat-Bulk.

a b c (Å): 7.805 9.189 10.609
angles (deg): 90.00 90.00 90.00
Space group Fmmm (No. 69)
Inequivalent atoms, fractional coordinates:
K 0.000 0.000 0.000 x4
K 0.250 0.250 0.250 x8
Tc 0.000 0.000 0.500 x4
F 0.000 0.227 0.500 x8
F 0.194 0.000 0.372 x16

DOS(E_F), states/eV per atom: 0.26
Energy relative to the elements, uncorrected, meV/atom: -2408
Total magnetic moment, Bohr magnetons per cell: 8.00

First-principles (PBE-GGA) data for an optimized crystal structure of KTcF6, as listed in Alexandria via LeMat-Bulk.

a b c (Å): 9.107 9.107 9.107
angles (deg): 90.00 90.00 90.00
Space group Fm-3m (No. 225)
Inequivalent atoms, fractional coordinates:
K 0.000 0.000 0.000 x4
Tc 0.000 0.000 0.500 x4
F 0.000 0.000 0.291 x24

DOS(E_F), states/eV per atom: 1.35
Energy above the most stable polymorph in this dataset, meV per atom: 0
Energy relative to the elements, uncorrected, meV/atom: -2356
Total magnetic moment, Bohr magnetons per cell: 8.00

First-principles (PBE-GGA) data for an optimized crystal structure of K6TcF12, as listed in Alexandria via LeMat-Bulk.

a b c (Å): 11.5702 11.5702 10.8276
angles (deg): 90.00 90.00 120.00
Space group R-3 (No. 148, hexagonal axes)
Inequivalent atoms, fractional coordinates:
K 0.0263 0.2352 0.1375 x18
Tc 0.0000 0.0000 0.5000 x3
F 0.0219 0.2280 0.8961 x18
F 0.0260 0.1462 0.3995 x18

DOS(E_F), states/eV per atom: 1.53
Energy relative to the elements, uncorrected, meV/atom: -2414
Total magnetic moment, Bohr magnetons per cell: 8.80

First-principles (PBE-GGA) data for an optimized crystal structure of KTc2F11, as listed in Alexandria via LeMat-Bulk.

a b c (Å): 9.459 9.575 11.103
angles (deg): 90.00 90.00 90.00
Space group Ibam (No. 72)
Inequivalent atoms, fractional coordinates:
K 0.000 0.000 0.250 x4
Tc 0.148 0.344 0.000 x8
F 0.000 0.500 0.000 x4
F 0.043 0.250 0.120 x16
F 0.219 0.299 0.500 x8
F 0.250 0.059 0.380 x16

DOS(E_F), states/eV per atom: 0.91
Energy relative to the elements, uncorrected, meV/atom: -2203
Total magnetic moment, Bohr magnetons per cell: 16.00

First-principles (PBE-GGA) data for an optimized crystal structure of KTcF5, as listed in Alexandria via LeMat-Bulk.

a b c (Å): 9.786 7.430 7.953
angles (deg): 90.00 112.25 90.00
Space group C2/c (No. 15)
Inequivalent atoms, fractional coordinates:
K 0.000 0.033 0.250 x4
Tc 0.000 0.500 0.000 x4
F 0.000 0.438 0.250 x4
F 0.020 0.242 0.972 x8
F 0.212 0.473 0.604 x8

Energy relative to the elements, uncorrected, meV/atom: -2382
Total magnetic moment, Bohr magnetons per cell: 12.00

First-principles (PBE-GGA) data for an optimized crystal structure of KTcF2, as listed in Alexandria via LeMat-Bulk.

a b c (Å): 2.9519 2.9519 23.0401
angles (deg): 90.00 90.00 120.00
Space group R-3m (No. 166, hexagonal axes)
Inequivalent atoms, fractional coordinates:
K 0.0000 0.0000 0.0000 x3
Tc 0.0000 0.0000 0.5000 x3
F 0.0000 0.0000 0.4116 x6

DOS(E_F), states/eV per atom: 0.59
Energy above the most stable polymorph in this dataset, meV per atom: 0
Energy relative to the elements, uncorrected, meV/atom: -1390
Total magnetic moment, Bohr magnetons per cell: 0.00

First-principles (PBE-GGA) data for an optimized crystal structure of K2TcF5, as listed in Alexandria via LeMat-Bulk.

a b c (Å): 9.568 9.590 4.334
angles (deg): 90.00 116.68 90.00
Space group Cm (No. 8)
Inequivalent atoms, fractional coordinates:
K 0.000 0.231 0.000 x4
Tc 0.199 0.000 0.697 x2
F 0.193 0.000 0.190 x2
F 0.194 0.214 0.692 x4
F 0.433 0.000 0.929 x2
F 0.466 0.500 0.465 x2

DOS(E_F), states/eV per atom: 0.22
Energy above the most stable polymorph in this dataset, meV per atom: 0
Energy relative to the elements, uncorrected, meV/atom: -2345
Total magnetic moment, Bohr magnetons per cell: 5.74

First-principles (PBE-GGA) data for an optimized crystal structure of KTcF2, as listed in Alexandria via LeMat-Bulk.

a b c (Å): 6.584 6.584 7.427
angles (deg): 90.00 90.00 90.00
Space group I-42d (No. 122)
Inequivalent atoms, fractional coordinates:
K 0.000 0.000 0.000 x4
Tc 0.000 0.000 0.500 x4
F 0.209 0.250 0.625 x8

DOS(E_F), states/eV per atom: 0.95
Energy above the most stable polymorph in this dataset, meV per atom: 410
Energy relative to the elements, uncorrected, meV/atom: -980
Total magnetic moment, Bohr magnetons per cell: 17.20

First-principles (PBE-GGA) data for an optimized crystal structure of K2TcF6, as listed in Alexandria via LeMat-Bulk.

a b c (Å): 5.576 5.576 11.262
angles (deg): 90.00 90.00 90.00
Space group P4_2/mnm (No. 136)
Inequivalent atoms, fractional coordinates:
K 0.000 0.000 0.163 x4
Tc 0.000 0.000 0.500 x2
F 0.171 0.171 0.372 x8
F 0.250 0.250 0.000 x4

DOS(E_F), states/eV per atom: 0.00
Energy above the most stable polymorph in this dataset, meV per atom: 0
Energy relative to the elements, uncorrected, meV/atom: -2562
Total magnetic moment, Bohr magnetons per cell: 6.00

First-principles (PBE-GGA) data for an optimized crystal structure of K2TlTcF6, as listed in Alexandria via LeMat-Bulk.

a b c (Å): 5.999 9.175 7.391
angles (deg): 90.00 90.00 90.00
Space group Pmmn (No. 59, origin choice 2)
Inequivalent atoms, fractional coordinates:
K 0.250 0.043 0.172 x4
Tl 0.250 0.250 0.682 x2
Tc 0.250 0.750 0.813 x2
F 0.004 0.750 0.625 x4
F 0.016 0.750 0.015 x4
F 0.250 0.524 0.818 x4

DOS(E_F), states/eV per atom: 0.26
Energy relative to the elements, uncorrected, meV/atom: -2232
Total magnetic moment, Bohr magnetons per cell: 4.00

First-principles (PBE-GGA) data for an optimized crystal structure of KTlTcF6, as listed in Alexandria via LeMat-Bulk.

a b c (Å): 6.5193 6.5193 9.6076
angles (deg): 90.00 90.00 120.00
Space group P-31c (No. 163)
Inequivalent atoms, fractional coordinates:
K 0.3333 0.6667 0.2500 x2
Tl 0.0000 0.0000 0.0000 x2
Tc 0.3333 0.6667 0.7500 x2
F 0.0809 0.4157 0.6360 x12

DOS(E_F), states/eV per atom: 0.00
Energy relative to the elements, uncorrected, meV/atom: -2316
Total magnetic moment, Bohr magnetons per cell: 6.00

First-principles (PBE-GGA) data for an optimized crystal structure of KTl2TcF8, as listed in Alexandria via LeMat-Bulk.

a b c (Å): 4.883 7.907 6.298
angles (deg): 90.00 97.74 90.00
Space group P2/m (No. 10)
Inequivalent atoms, fractional coordinates:
K 0.000 0.000 0.000 x1
Tl 0.500 0.247 0.500 x2
Tc 0.000 0.500 0.000 x1
F 0.092 0.322 0.809 x4
F 0.358 0.500 0.163 x2
F 0.465 0.000 0.266 x2

DOS(E_F), states/eV per atom: 0.52
Energy relative to the elements, uncorrected, meV/atom: -2133
Total magnetic moment, Bohr magnetons per cell: 1.98

| no. | final energy (eV/cell) |
| --- | --- |
| 1 | -174.323 |
| 2 | -186.509 |
| 3 | -46.808 |
| 4 | -80.401 |
| 5 | -41.484 |
| 6 | -72.679 |
| 7 | -57.721 |
| 8 | -63.314 |
| 9 | -195.852 |
| 10 | -166.160 |
| 11 | -255.835 |
| 12 | -293.016 |
| 13 | -149.964 |
| 14 | -62.300 |
| 15 | -81.349 |
| 16 | -76.511 |
| 17 | -93.695 |
| 18 | -96.943 |
| 19 | -91.807 |
| 20 | -56.765 |